1.
A plane-wave DFT calculation with GGA-PBE was carried out for a geometry-optimized BeCr2Ir structure.

Output
**DFT formation energy**: -77 meV per atom
**Size of the total moment**: 0.00 μB per formula unit
**SG**: Pm

abc: 2.608 3.933 4.635
angles: 90.00 95.38 90.00
Element x y z (fractional)
Be  0.000  0.000  0.000
Cr  0.453  0.000  0.470
Cr  0.588  0.500  0.193
Ir  0.040  0.500  0.714

2.
A plane-wave DFT calculation with GGA-PBE was carried out for a geometry-optimized ScTiCo2 structure.

Output
**DFT formation energy**: -392 meV per atom
**Size of the total moment**: 0.66 μB per formula unit
**SG**: P4/mmm

abc: 3.023 3.023 6.214
angles: 90.00 90.00 90.00
Element x y z (fractional)
Sc  0.000  0.000  0.000
Ti  0.000  0.000  0.500
Co  0.500  0.500  0.275
Co  0.500  0.500  0.725

3.
A plane-wave DFT calculation with GGA-PBE was carried out for a geometry-optimized LaZrTlCd structure.

Output
**DFT formation energy**: -121 meV per atom
**Size of the total moment**: 0.00 μB per formula unit
**SG**: F-43m

abc: 5.322 5.322 5.322
angles: 60.00 60.00 60.00
Element x y z (fractional)
La  0.000  0.000  0.000
Zr  0.500  0.500  0.500
Tl  0.250  0.250  0.250
Cd  0.750  0.750  0.750

4.
A plane-wave DFT calculation with GGA-PBE was carried out for a geometry-optimized RbMgGeCl5 structure.

Output
**E_form (uncorrected)**: -140.1 kJ per mole of atoms
**Size of the total moment**: 0.00 μB per formula unit
**SG**: C2/c

abc: 7.327 7.327 10.165
angles: 106.93 106.93 97.71
Element x y z (fractional)
Rb  0.084  0.916  0.750
Rb  0.916  0.084  0.250
Mg  0.000  0.500  0.000
Mg  0.500  0.000  0.500
Ge  0.493  0.507  0.750
Ge  0.507  0.493  0.250
Cl  0.162  0.253  0.066
Cl  0.232  0.768  0.250
Cl  0.253  0.162  0.566
Cl  0.278  0.600  0.896
Cl  0.400  0.722  0.604
Cl  0.600  0.278  0.396
Cl  0.722  0.400  0.104
Cl  0.747  0.838  0.434
Cl  0.768  0.232  0.750
Cl  0.838  0.747  0.934

5.
A plane-wave DFT calculation with GGA-PBE was carried out for a geometry-optimized RbHgIr2Pd structure.

Output
**DFT formation energy**: 2570 meV per atom
**Size of the total moment**: 0.68 μB per formula unit
**SG**: P4/mmm

abc: 4.933 4.933 5.007
angles: 90.00 90.00 90.00
Element x y z (fractional)
Rb  0.000  0.000  0.000
Hg  0.500  0.500  0.500
Ir  0.000  0.500  0.000
Ir  0.500  0.000  0.000
Pd  0.000  0.000  0.500

6.
A plane-wave DFT calculation with GGA-PBE was carried out for a geometry-optimized LaVN3 structure.

Output
**E_form (uncorrected)**: -86.8 kJ per mole of atoms
**Size of the total moment**: 0.00 μB per formula unit
**SG**: P1

abc: 3.525 6.239 6.384
angles: 76.11 74.43 83.33
Element x y z (fractional)
La  0.000  0.000  0.000
La  0.279  0.657  0.594
V  0.332  0.372  0.201
V  0.736  0.141  0.506
N  0.297  0.069  0.382
N  0.493  0.323  0.919
N  0.644  0.891  0.755
N  0.739  0.337  0.714
N  0.770  0.460  0.274
N  0.961  0.636  0.282